# 1
First-principles (PBE) data for In2OsRu after structural relaxation, as listed in Alexandria via LeMat-Bulk.

Properties
DFT formation energy in eV/atom: 0.344
Polymorph energy (0 for the lowest one) in meV per atom: 187

```
data_In2OsRu
_chemical_formula_sum 'In8 Os4 Ru4'
_space_group_name_H-M_alt 'F m -3 m'
_space_group_IT_number 225
_space_group_name_Hall '-F 4 2 3'
_cell_length_a 6.477
_cell_length_b 6.477
_cell_length_c 6.477
_cell_angle_alpha 90.00
_cell_angle_beta 90.00
_cell_angle_gamma 90.00
loop_
_atom_site_label
_atom_site_fract_x
_atom_site_fract_y
_atom_site_fract_z
In1 0.250 0.250 0.250
Os1 0.000 0.000 0.000
Ru1 0.000 0.000 0.500
```

=====

# 2
First-principles (PBE) data for In2OsRu after structural relaxation, as listed in Alexandria via LeMat-Bulk.

Properties
DFT formation energy in eV/atom: 0.517
Polymorph energy (0 for the lowest one) in meV per atom: 360

```
data_In2OsRu
_chemical_formula_sum 'In4 Os2 Ru2'
_space_group_name_H-M_alt 'I -4 m 2'
_space_group_IT_number 119
_space_group_name_Hall 'I -4 -2'
_cell_length_a 4.038
_cell_length_b 4.038
_cell_length_c 8.476
_cell_angle_alpha 90.00
_cell_angle_beta 90.00
_cell_angle_gamma 90.00
loop_
_atom_site_label
_atom_site_fract_x
_atom_site_fract_y
_atom_site_fract_z
In1 0.000 0.000 0.000
In2 0.000 0.500 0.250
Os1 0.000 0.500 0.750
Ru1 0.000 0.000 0.500
```

=====

# 3
First-principles (PBE) data for In2OsRu after structural relaxation, as listed in Alexandria via LeMat-Bulk.

Properties
DFT formation energy in eV/atom: 0.451
Polymorph energy (0 for the lowest one) in meV per atom: 294

```
data_In2OsRu
_chemical_formula_sum 'In4 Os2 Ru2'
_space_group_name_H-M_alt 'C 1 2/m 1'
_space_group_IT_number 12
_space_group_name_Hall '-C 2y'
_cell_length_a 8.852
_cell_length_b 3.027
_cell_length_c 5.290
_cell_angle_alpha 90.00
_cell_angle_beta 101.28
_cell_angle_gamma 90.00
loop_
_atom_site_label
_atom_site_fract_x
_atom_site_fract_y
_atom_site_fract_z
In1 0.249 0.000 0.248
Os1 0.000 0.000 0.500
Ru1 0.000 0.500 0.000
```

=====

- What is the formula in the second record?
  In2OsRu

=====

- The highest DFT formation energy belongs to which entry?
  number 2

=====

- Which value of DFT formation energy does entry 1 give?
  0.344 eV/atom

=====

- DFT formation energy of number 3 (In2OsRu)?
  0.451 eV/atom